HfTcBr3: relaxed, PBE-GGA.

Its energy relative to the elements, uncorrected is 437.7 meV/atom. As for the density: 5.8 Mg/m³. Its final energy is -4.6299 eV per atom. The calculated volume comes out at 148 Å³/cell. The calculation puts the offset from the most stable computed form at 0 meV/atom.

The structure belongs to space group Pm-3m (No. 221); the cell edges are 5.292, 5.292 and 5.292 Å and the angles 90.00°, 90.00° and 90.00°. The distinct sites, in fractional coordinates, are Hf at (0.000, 0.000, 0.000), Tc at (0.500, 0.500, 0.500) and Br at (0.000, 0.000, 0.500).